Record 1
Computed, not measured: a relaxed GeS4Br crystal at the PBE level of DFT.

Structure (extended XYZ):
```
12
Lattice="4.887 0.000 0.000 1.038 7.248 0.000 0.408 2.908 10.828" Properties=species:S:1:pos:R:3 pbc="T T T"
Ge 0.970 2.454 5.367
Ge 5.363 7.703 5.461
S 1.494 5.722 5.779
S 2.360 6.788 10.589
S 2.154 2.514 7.299
S 2.457 2.352 3.618
S 3.876 7.804 7.210
S 4.178 7.643 3.529
S 3.973 3.369 0.239
S 4.839 4.435 5.049
Br 1.898 5.601 1.128
Br 4.435 4.556 9.700
```

- M_tot: 0.000 μB per formula unit
- Uncorrected energy: -3.783 eV per atom
- Energy relative to the elements, uncorrected: 0.017 eV/atom



Record 2
Computed, not measured: a relaxed Co2ReMo crystal at the PBE level of DFT.

Structure (extended XYZ):
```
4
Lattice="0.000 2.982 2.982 2.982 0.000 2.982 2.982 2.982 0.000" Properties=species:S:1:pos:R:3 pbc="T T T"
Co 1.491 1.491 1.491
Co 4.473 4.473 4.473
Re 0.000 0.000 0.000
Mo 2.982 2.982 2.982
```

- M_tot: 3.967 μB per formula unit
- Polymorph energy (0 for the lowest one): 347 meV per atom
- Uncorrected energy: -9.067 eV per atom



Record 3
Computed, not measured: a relaxed PuInGaSn crystal at the PBE level of DFT.

Structure (extended XYZ):
```
4
Lattice="4.420 0.000 0.000 0.000 4.597 0.000 0.000 0.000 4.624" Properties=species:S:1:pos:R:3 pbc="T T T"
Pu 0.000 0.000 0.000
In 0.000 2.299 2.312
Ga 2.210 2.299 0.000
Sn 2.210 0.000 2.312
```

- M_tot: 5.627 μB per formula unit
- Uncorrected energy: -6.344 eV per atom



Record 4
Computed, not measured: a relaxed Ba2Hf7O16 crystal at the PBE level of DFT.

Structure (extended XYZ):
```
25
Lattice="3.236 1.869 9.051 -3.236 1.869 9.051 0.000 -3.737 9.051" Properties=species:S:1:pos:R:3 pbc="T T T"
Ba 0.000 0.000 4.512
Ba 0.000 0.000 22.641
Hf -2.368 -0.015 10.408
Hf -1.171 -2.058 16.745
Hf 1.197 -2.043 10.408
Hf 0.000 0.000 13.577
Hf -1.197 2.043 16.745
Hf 1.171 2.058 10.408
Hf 2.368 0.015 16.745
O 0.000 0.000 1.814
O -0.840 -1.599 9.846
O -1.710 -0.029 12.347
O 0.000 0.000 7.244
O -0.830 -1.495 14.806
O -0.965 1.527 9.846
O -1.805 -0.072 17.307
O 0.880 -1.467 12.347
O -0.880 1.467 14.806
O 1.805 0.072 9.846
O 0.965 -1.527 17.307
O 0.830 1.495 12.347
O 0.000 0.000 19.909
O 1.710 0.029 14.806
O 0.840 1.599 17.307
O 0.000 0.000 25.339
```

- M_tot: 0.000 μB per formula unit
- Uncorrected energy: -9.550 eV per atom
- Energy relative to the elements, uncorrected: -3.436 eV/atom